(1)
A geometry-optimized Ba6SrRh structure, computed with PBE.

The structure belongs to space group C2/c (No. 15); the cell edges are 15.4869, 7.8041 and 15.3071 Å and the angles 90.00°, 102.05° and 90.00°. The asymmetric unit holds Ba at (0.0778, 0.0937, 0.3938), Ba at (0.1469, 0.4292, 0.0347), Ba at (0.2161, 0.0859, 0.6722), Sr at (0.0000, 0.4078, 0.7500) and Rh at (0.2500, 0.2500, 0.5000).

For the uncorrected energy, the calculation gives -2.69 eV/atom.



(2)
A geometry-optimized BaSr3Rh structure, computed with PBE.

The structure belongs to space group Cc (No. 9); the cell edges are 8.6715, 17.3261 and 7.5379 Å and the angles 90.00°, 124.68° and 90.00°. The asymmetric unit holds Ba at (0.0000, 0.0655, 0.0000), Sr at (0.0007, 0.1955, 0.5171), Sr at (0.4880, 0.0672, 0.9964), Sr at (0.4933, 0.1919, 0.4765) and Rh at (0.2417, 0.1799, 0.9958).

The value obtained for the energy relative to the lowest polymorph listed for this composition is 4 meV per atom. For the uncorrected energy, the calculation gives -3.04 eV/atom.



no.,ΔE_f (meV/atom),magnetic moment (μB/atom)
1,-121,0.00
2,-181,0.00